(1)
This record from Alexandria describes a PBEsol-optimized structure of TaBeIr2. The functional is SCAN.

Results
Energy: -53.8980 eV per atom
Space-group type: P4/mmm, No. 123

Unit cell a=3.4645 b=4.0004 c=4.0004 alpha=90.00 beta=90.00 gamma=90.00
Positions (direct):
Ir 0.0000 0.5000 0.0000
Ta 0.5000 0.5000 0.5000
Be 0.5000 0.0000 0.0000
Ir 0.0000 0.0000 0.5000



(2)
This record from Alexandria describes a PBEsol-optimized structure of TaBe2Ir2. The functional is SCAN.

Results
Energy: -44.1919 eV per atom
Space-group type: P4/mbm, No. 127

Unit cell a=2.7488 b=6.6764 c=6.6764 alpha=90.00 beta=90.00 gamma=90.00
Positions (direct):
Be 0.0000 0.6144 0.1144
Ir 0.5000 0.3211 0.1789
Ta 0.0000 0.5000 0.5000
Be 0.0000 0.3856 0.8856
Ir 0.5000 0.1789 0.6789
Ta 0.0000 0.0000 0.0000
Ir 0.5000 0.8211 0.3211
Ir 0.5000 0.6789 0.8211
Be 0.0000 0.8856 0.6144
Be 0.0000 0.1144 0.3856



(3)
This record from Alexandria describes a PBEsol-optimized structure of TaBeIr2. The functional is SCAN.

Results
Energy: -54.0431 eV per atom
Space-group type: I4/mmm, No. 139

Unit cell a=4.0161 b=4.4597 c=4.0161 alpha=116.76 beta=90.00 gamma=116.76
Positions (direct):
Be 0.5000 0.0000 0.5000
Ir 0.2500 0.5000 0.7500
Ir 0.7500 0.5000 0.2500
Ta 0.0000 0.0000 0.0000



(4)
This record from Alexandria describes a PBEsol-optimized structure of TaBe4Ir. The functional is SCAN.

Results
Energy: -26.3266 eV per atom
Space-group type: F-43m, No. 216

Unit cell a=4.4264 b=4.4264 c=4.4264 alpha=60.00 beta=60.00 gamma=60.00
Positions (direct):
Ir 0.7500 0.7500 0.7500
Be 0.8811 0.3730 0.3730
Ta 0.0000 0.0000 0.0000
Be 0.3730 0.8811 0.3730
Be 0.3730 0.3730 0.8811
Be 0.3730 0.3730 0.3730



(5)
This record from Alexandria describes a PBEsol-optimized structure of TiBeTcIr2. The functional is SCAN.

Results
Energy: -39.5350 eV per atom
Space-group type: P4/mmm, No. 123

Unit cell a=4.0119 b=4.0119 c=4.2044 alpha=90.00 beta=90.00 gamma=90.00
Site moments in Bohr magnetons follow the coordinates.
Positions (direct):
Ti 0.0000 0.0000 0.5000  -0.19
Ir 0.0000 0.5000 0.0000  0.02
Be 0.0000 0.0000 0.0000  -0.01
Ir 0.5000 0.0000 0.0000  0.02
Tc 0.5000 0.5000 0.5000  1.04



(6)
This record from Alexandria describes a PBEsol-optimized structure of BeTeIr2. The functional is SCAN.

Results
Distance to the lowest polymorph of the same formula: 0.0275 eV per atom
Formation energy from raw total energies: 166.6 meV per atom
Energy: -45.7841 eV per atom
Space-group type: I4/mmm, No. 139

Unit cell a=4.0684 b=4.5579 c=4.0684 alpha=63.49 beta=90.00 gamma=116.51
Positions (direct):
Ir 0.2500 0.5000 0.2500
Ir 0.7500 0.5000 0.7500
Be 0.0000 0.0000 0.0000
Te 0.5000 0.0000 0.5000



(7)
This record from Alexandria describes a PBEsol-optimized structure of BeTeIr2. The functional is SCAN.

Results
Distance to the lowest polymorph of the same formula: 0.0313 eV per atom
Formation energy from raw total energies: 170.4 meV per atom
Energy: -45.7803 eV per atom
Space-group type: I-42d, No. 122

Unit cell a=3.9944 b=3.9944 c=8.5845 alpha=103.45 beta=103.45 gamma=90.00
Positions (direct):
Ir 0.1250 0.1595 0.7500
Ir 0.6250 0.5905 0.7500
Ir 0.8405 0.3750 0.2500
Be 0.7500 0.2500 0.5000
Be 0.5000 0.5000 0.0000
Te 0.0000 0.0000 0.0000
Ir 0.4095 0.8750 0.2500
Te 0.2500 0.7500 0.5000



(8)
This record from Alexandria describes a PBEsol-optimized structure of BeTeIr2. The functional is SCAN.

Results
Distance to the lowest polymorph of the same formula: 0.0000 eV per atom
Formation energy from raw total energies: 139.1 meV per atom
Energy: -45.8116 eV per atom
Space-group type: P4mm, No. 99

Unit cell a=3.2405 b=3.2405 c=5.8562 alpha=90.00 beta=90.00 gamma=90.00
Site moments in Bohr magnetons follow the coordinates.
Positions (direct):
Be 0.5000 0.5000 0.8522  0.00
Te 0.0000 0.0000 0.4761  0.00
Ir 0.0000 0.0000 0.9201  0.34
Ir 0.5000 0.5000 0.2515  0.03



(9)
This record from Alexandria describes a PBEsol-optimized structure of BeTeIr. The functional is SCAN.

Results
Formation energy from raw total energies: 156.5 meV per atom
Energy: -37.4115 eV per atom
Space-group type: I4mm, No. 107

Unit cell a=3.0342 b=3.0342 c=5.6464 alpha=105.59 beta=105.59 gamma=90.00
Positions (direct):
Be 0.9551 0.9551 0.9102
Te 0.6623 0.6623 0.3247
Ir 0.3825 0.3825 0.7651



(10)
This record from Alexandria describes a PBEsol-optimized structure of TiBe2Ir2. The functional is SCAN.

Results
Energy: -34.2470 eV per atom
Space-group type: P4/mbm, No. 127

Unit cell a=2.7680 b=6.5100 c=6.5100 alpha=90.00 beta=90.00 gamma=90.00
Site moments in Bohr magnetons follow the coordinates.
Positions (direct):
Be 0.0000 0.8818 0.6182  0.00
Ir 0.5000 0.1756 0.6756  0.00
Ir 0.5000 0.3244 0.1756  0.00
Be 0.0000 0.6182 0.1182  0.00
Ir 0.5000 0.6756 0.8244  0.00
Be 0.0000 0.3818 0.8818  0.00
Be 0.0000 0.1182 0.3818  0.00
Ti 0.0000 0.5000 0.5000  0.10
Ir 0.5000 0.8244 0.3244  0.00
Ti 0.0000 0.0000 0.0000  0.10



(11)
This record from Alexandria describes a PBEsol-optimized structure of BeTl2Ir. The functional is SCAN.

Results
Distance to the lowest polymorph of the same formula: 0.0610 eV per atom
Energy: -54.3166 eV per atom
Space-group type: P2/m, No. 10

Unit cell a=3.1554 b=4.4927 c=5.1392 alpha=90.00 beta=88.23 gamma=90.00
Positions (direct):
Be 0.5000 0.5000 0.0000
Tl 0.2749 0.0000 0.2463
Tl 0.7251 0.0000 0.7537
Ir 0.0000 0.5000 0.5000



(12)
This record from Alexandria describes a PBEsol-optimized structure of BeTl2Ir. The functional is SCAN.

Results
Distance to the lowest polymorph of the same formula: 0.0000 eV per atom
Energy: -54.3776 eV per atom
Space-group type: I-4m2, No. 119

Unit cell a=4.0716 b=4.0716 c=5.0873 alpha=113.59 beta=113.59 gamma=90.00
Positions (direct):
Tl 0.0000 0.0000 0.0000
Be 0.5000 0.5000 0.0000
Tl 0.7500 0.2500 0.5000
Ir 0.2500 0.7500 0.5000



(13)
This record from Alexandria describes a PBEsol-optimized structure of Be2TlIr. The functional is SCAN.

Results
Energy: -37.9940 eV per atom
Space-group type: C2/m, No. 12

Unit cell a=3.6068 b=4.1670 c=4.5005 alpha=101.44 beta=90.00 gamma=115.64
Positions (direct):
Be 0.8013 0.6026 0.9274
Ir 0.5000 0.0000 0.0000
Be 0.1987 0.3974 0.0726
Tl 0.0000 0.0000 0.5000



(14)
This record from Alexandria describes a PBEsol-optimized structure of BeTl3Ir. The functional is SCAN.

Results
Energy: -57.8679 eV per atom
Space-group type: Pm-3m, No. 221

Unit cell a=5.2176 b=5.2176 c=5.2176 alpha=90.00 beta=90.00 gamma=90.00
Positions (direct):
Be 0.5000 0.5000 0.5000
Tl 0.5000 0.0000 0.0000
Tl 0.0000 0.0000 0.5000
Ir 0.0000 0.0000 0.0000
Tl 0.0000 0.5000 0.0000



(15)
This record from Alexandria describes a PBEsol-optimized structure of Be2IrW. The functional is SCAN.

Results
Distance to the lowest polymorph of the same formula: 0.0000 eV per atom
Energy: -37.4541 eV per atom
Space-group type: C2/m, No. 12

Unit cell a=2.7235 b=4.1627 c=4.6645 alpha=102.81 beta=90.00 gamma=109.09
Positions (direct):
W 0.5000 0.0000 0.0000
Ir 0.0000 0.0000 0.5000
Be 0.7426 0.4851 0.7111
Be 0.2574 0.5149 0.2889



(16)
This record from Alexandria describes a PBEsol-optimized structure of BeIrW. The functional is SCAN.

Results
Energy: -48.7927 eV per atom
Space-group type: I4mm, No. 107

Unit cell a=2.7909 b=2.7909 c=5.1712 alpha=105.66 beta=105.66 gamma=90.00
Positions (direct):
W 0.3408 0.3408 0.6817
Be 0.0121 0.0121 0.0242
Ir 0.6471 0.6471 0.2941



(17)
This record from Alexandria describes a PBEsol-optimized structure of BeIrW2. The functional is SCAN.

Results
Energy: -53.8453 eV per atom
Space-group type: Immm, No. 71

Unit cell a=3.0575 b=4.1614 c=4.9957 alpha=114.61 beta=107.82 gamma=90.00
Positions (direct):
W 0.7440 0.7440 0.4880
Ir 0.5000 0.0000 0.0000
Be 0.0000 0.5000 0.0000
W 0.2560 0.2560 0.5120



(18)
This record from Alexandria describes a PBEsol-optimized structure of BeIrW3. The functional is SCAN.

Results
Energy: -56.1957 eV per atom
Space-group type: Pm-3m, No. 221

Unit cell a=4.1487 b=4.1487 c=4.1487 alpha=90.00 beta=90.00 gamma=90.00
Positions (direct):
W 0.0000 0.5000 0.0000
W 0.0000 0.0000 0.5000
Be 0.0000 0.0000 0.0000
W 0.5000 0.0000 0.0000
Ir 0.5000 0.5000 0.5000



(19)
This record from Alexandria describes a PBEsol-optimized structure of Be2IrW. The functional is SCAN.

Results
Distance to the lowest polymorph of the same formula: 0.0222 eV per atom
Energy: -37.4319 eV per atom
Space-group type: Pmmm, No. 47

Unit cell a=2.7931 b=3.8996 c=4.4979 alpha=90.00 beta=90.00 gamma=90.00
Positions (direct):
Ir 0.5000 0.5000 0.0000
Be 0.0000 0.0000 0.0000
Be 0.5000 0.0000 0.5000
W 0.0000 0.5000 0.5000



(20)
This record from Alexandria describes a PBEsol-optimized structure of YBeIr2. The functional is SCAN.

Results
Energy: -43.9030 eV per atom
Space-group type: P4mm, No. 99

Unit cell a=3.0943 b=3.0943 c=6.5277 alpha=90.00 beta=90.00 gamma=90.00
Positions (direct):
Be 0.5000 0.5000 0.8386
Y 0.0000 0.0000 0.4975
Ir 0.5000 0.5000 0.2286
Ir 0.0000 0.0000 0.9353



(21)
This record from Alexandria describes a PBEsol-optimized structure of YBeIr2. The functional is SCAN.

Results
Energy: -44.0976 eV per atom
Space-group type: P2/m, No. 10

Unit cell a=2.9820 b=3.6830 c=5.8091 alpha=90.00 beta=103.70 gamma=90.00
Positions (direct):
Be 0.5000 0.5000 0.5000
Y 0.5000 0.5000 0.0000
Ir 0.1186 0.0000 0.2983
Ir 0.8814 0.0000 0.7017



(22)
This record from Alexandria describes a PBEsol-optimized structure of YBeIr2. The functional is SCAN.

Results
Energy: -43.9227 eV per atom
Space-group type: Pmm2, No. 25

Unit cell a=2.8200 b=3.8009 c=5.8491 alpha=90.00 beta=90.00 gamma=90.00
Positions (direct):
Be 0.5000 0.5000 0.8328
Y 0.0000 0.0000 0.4895
Ir 0.0000 0.0000 0.9625
Ir 0.5000 0.5000 0.2153



(23)
This record from Alexandria describes a PBEsol-optimized structure of YBe2Ir. The functional is SCAN.

Results
Distance to the lowest polymorph of the same formula: 0.0706 eV per atom
Energy: -27.5349 eV per atom
Space-group type: R3m, No. 160

Unit cell a=3.8887 b=3.8887 c=5.3315 alpha=68.61 beta=68.61 gamma=60.00
Positions (direct):
Be 0.0583 0.0583 0.8250
Ir 0.4425 0.4425 0.6724
Y 0.2458 0.2458 0.2626
Be 0.7557 0.7557 0.7329



(24)
This record from Alexandria describes a PBEsol-optimized structure of YBeIr2. The functional is SCAN.

Results
Energy: -43.9739 eV per atom
Space-group type: I-42d, No. 122

Unit cell a=4.5601 b=4.5601 c=8.2217 alpha=106.10 beta=106.10 gamma=90.00
Positions (direct):
Ir 0.1250 0.4579 0.7500
Ir 0.6250 0.2921 0.7500
Ir 0.7079 0.8750 0.2500
Be 0.5000 0.5000 0.0000
Y 0.0000 0.0000 0.0000
Ir 0.5421 0.3750 0.2500
Y 0.2500 0.7500 0.5000
Be 0.7500 0.2500 0.5000



(25)
This record from Alexandria describes a PBEsol-optimized structure of YBe2Ir. The functional is SCAN.

Results
Distance to the lowest polymorph of the same formula: 0.0000 eV per atom
Energy: -27.6055 eV per atom
Space-group type: R-3m, No. 166

Unit cell a=3.8555 b=3.8555 c=5.2363 alpha=68.40 beta=68.40 gamma=60.00
Positions (direct):
Be 0.8034 0.8034 0.5897
Be 0.1966 0.1966 0.4103
Ir 0.5000 0.5000 0.5000
Y 0.0000 0.0000 0.0000



(26)
This record from Alexandria describes a PBEsol-optimized structure of Be2ZnIr. The functional is SCAN.

Results
Energy: -23.1790 eV per atom
Space-group type: I-42d, No. 122

Unit cell a=3.5755 b=3.5755 c=8.3621 alpha=102.34 beta=102.34 gamma=90.00
Positions (direct):
Ir 0.0000 0.0000 0.0000
Be 0.9431 0.3750 0.2500
Zn 0.7500 0.2500 0.5000
Zn 0.5000 0.5000 0.0000
Ir 0.2500 0.7500 0.5000
Be 0.6250 0.6931 0.7500
Be 0.1250 0.0569 0.7500
Be 0.3069 0.8750 0.2500



(27)
This record from Alexandria describes a PBEsol-optimized structure of BeZnIr. The functional is SCAN.

Results
Energy: -30.1202 eV per atom
Space-group type: I4mm, No. 107

Unit cell a=2.8928 b=2.8928 c=4.7410 alpha=107.76 beta=107.76 gamma=90.00
Positions (direct):
Zn 0.3370 0.3370 0.6741
Be 0.0194 0.0194 0.0388
Ir 0.6436 0.6436 0.2871



(28)
This record from Alexandria describes a PBEsol-optimized structure of BeZnIr2. The functional is SCAN.

Results
Distance to the lowest polymorph of the same formula: 0.0000 eV per atom
Energy: -40.4176 eV per atom
Space-group type: P4/mmm, No. 123

Unit cell a=2.8394 b=2.8394 c=6.0166 alpha=90.00 beta=90.00 gamma=90.00
Positions (direct):
Ir 0.0000 0.0000 0.2757
Ir 0.0000 0.0000 0.7243
Zn 0.5000 0.5000 0.0000
Be 0.5000 0.5000 0.5000



(29)
This record from Alexandria describes a PBEsol-optimized structure of BeZnIr2. The functional is SCAN.

Results
Distance to the lowest polymorph of the same formula: 0.4592 eV per atom
Energy: -39.9584 eV per atom
Space-group type: F-43m, No. 216

Unit cell a=4.1914 b=4.1914 c=4.1914 alpha=60.00 beta=60.00 gamma=60.00
Positions (direct):
Ir 0.7500 0.7500 0.7500
Ir 0.0000 0.0000 0.0000
Be 0.5000 0.5000 0.5000
Zn 0.2500 0.2500 0.2500